Material: TcBi3Pd
Method: DFT, GGA-PBEsol
State: relaxed

Computed properties:
For the density, the calculation gives 10.0 g cm⁻³. The calculation puts the total energy at -5.252 eV/atom. The space-group type is Pm-3m. The value obtained for the formation energy is 0.765 eV/atom. The density of states at the Fermi level comes out at 0.939 states/eV/atom.

Unit cell a=5.1738 b=5.1738 c=5.1738 alpha=90.00 beta=90.00 gamma=90.00
Fractional coordinates of all 5 atoms:
Pd 0.5000 0.5000 0.5000
Bi 0.0000 0.5000 0.0000
Bi 0.0000 0.0000 0.5000
Bi 0.5000 0.0000 0.0000
Tc 0.0000 0.0000 0.0000


Material: BiTePd3
Method: DFT, GGA-PBEsol
State: relaxed

Computed properties:
For the density, the calculation gives 9.3 g cm⁻³. The calculation puts the total energy at -4.863 eV/atom. Its energy relative to the elements, uncorrected is 1.38 eV/f.u. The space-group type is Pm-3m. The density of states at the Fermi level comes out at 0.573 states/eV/atom.

Unit cell a=4.8936 b=4.8936 c=4.8936 alpha=90.00 beta=90.00 gamma=90.00
Fractional coordinates of all 5 atoms:
Te 0.0000 0.0000 0.0000
Pd 0.5000 0.0000 0.0000
Pd 0.0000 0.5000 0.0000
Pd 0.0000 0.0000 0.5000
Bi 0.5000 0.5000 0.5000


Material: Bi2TePd2
Method: DFT, GGA-PBEsol
State: relaxed

Computed properties:
For the density, the calculation gives 11.3 g cm⁻³. The calculation puts the total energy at -5.017 eV/atom. Its energy relative to the elements, uncorrected is -1.07 eV/f.u. The space-group type is P4/mbm. The density of states at the Fermi level comes out at 0.406 states/eV/atom.

Unit cell a=3.9251 b=7.5477 c=7.5477 alpha=90.00 beta=90.00 gamma=90.00
Fractional coordinates of all 10 atoms:
Pd 0.0000 0.3682 0.8682
Pd 0.0000 0.1318 0.3682
Pd 0.0000 0.6318 0.1318
Pd 0.0000 0.8682 0.6318
Bi 0.5000 0.6570 0.8430
Bi 0.5000 0.3430 0.1570
Bi 0.5000 0.1570 0.6570
Bi 0.5000 0.8430 0.3430
Te 0.0000 0.0000 0.0000
Te 0.0000 0.5000 0.5000


Material: Bi3TePd
Method: DFT, GGA-PBEsol
State: relaxed

Computed properties:
For the density, the calculation gives 7.7 g cm⁻³. The calculation puts the total energy at -3.331 eV/atom. Its energy relative to the elements, uncorrected is 5.69 eV/f.u. The space-group type is Pm-3m. The density of states at the Fermi level comes out at 0.902 states/eV/atom.

Unit cell a=5.7019 b=5.7019 c=5.7019 alpha=90.00 beta=90.00 gamma=90.00
Fractional coordinates of all 5 atoms:
Bi 0.0000 0.5000 0.0000
Bi 0.0000 0.0000 0.5000
Bi 0.5000 0.0000 0.0000
Te 0.0000 0.0000 0.0000
Pd 0.5000 0.5000 0.5000


Material: TlBiPd3
Method: DFT, GGA-PBEsol
State: relaxed

Computed properties:
For the density, the calculation gives 10.1 g cm⁻³. The calculation puts the total energy at -4.320 eV/atom. The space-group type is Pm-3m. The value obtained for the formation energy is 0.638 eV/atom. The density of states at the Fermi level comes out at 0.468 states/eV/atom.

Unit cell a=4.9305 b=4.9305 c=4.9305 alpha=90.00 beta=90.00 gamma=90.00
Fractional coordinates of all 5 atoms:
Pd 0.5000 0.0000 0.0000
Pd 0.0000 0.0000 0.5000
Pd 0.0000 0.5000 0.0000
Bi 0.5000 0.5000 0.5000
Tl 0.0000 0.0000 0.0000


Material: TmBiPd
Method: DFT, GGA-PBEsol
State: relaxed

Computed properties:
For the density, the calculation gives 11.3 g cm⁻³. The calculation puts the total energy at -5.993 eV/atom. The space-group type is F-43m. The value obtained for the formation energy is -0.945 eV/atom. The density of states at the Fermi level comes out at 0.033 states/eV/atom.

Unit cell a=4.6465 b=4.6465 c=4.6465 alpha=60.00 beta=60.00 gamma=60.00
Fractional coordinates of all 3 atoms:
Pd 0.7500 0.7500 0.7500
Bi 0.0000 0.0000 0.0000
Tm 0.5000 0.5000 0.5000


Material: BiPdW3
Method: DFT, GGA-PBEsol
State: relaxed

Computed properties:
For the density, the calculation gives 13.4 g cm⁻³. The calculation puts the total energy at -8.143 eV/atom. The space-group type is Pm-3m. The value obtained for the formation energy is 2.191 eV/atom. The density of states at the Fermi level comes out at 1.134 states/eV/atom.

Unit cell a=4.7500 b=4.7500 c=4.7500 alpha=90.00 beta=90.00 gamma=90.00
Fractional coordinates of all 5 atoms:
W 0.5000 0.0000 0.0000
W 0.0000 0.0000 0.5000
W 0.0000 0.5000 0.0000
Bi 0.5000 0.5000 0.5000
Pd 0.0000 0.0000 0.0000


Material: YBiPd3
Method: DFT, GGA-PBEsol
State: relaxed

Computed properties:
For the density, the calculation gives 8.4 g cm⁻³. The calculation puts the total energy at -5.681 eV/atom. The space-group type is Pm-3m. The value obtained for the formation energy is 0.115 eV/atom. The density of states at the Fermi level comes out at 0.312 states/eV/atom.

Unit cell a=4.9536 b=4.9536 c=4.9536 alpha=90.00 beta=90.00 gamma=90.00
Fractional coordinates of all 5 atoms:
Pd 0.0000 0.0000 0.5000
Pd 0.5000 0.0000 0.0000
Pd 0.0000 0.5000 0.0000
Y 0.5000 0.5000 0.5000
Bi 0.0000 0.0000 0.0000


Question: Number 1 is which compound?
Answer: TcBi3Pd


Question: Which formula does entry 4 have?
Answer: Bi3TePd